--- 1 ---
DFT (PBE-GGA) results for an optimized crystal structure of RbNaH2.

abc: 3.7932 3.7932 19.1075
angles: 90.00 90.00 120.00
Closest atoms and distances in Å follow each position.
Space group R-3m (No. 166, hexagonal axes)
Symmetry-distinct sites (fractional):
Rb 0.0000 0.0000 0.0000 [3 per cell]  6 H 2.87
Na 0.0000 0.0000 0.5000 [3 per cell]  6 H 2.56
H 0.0000 0.0000 0.2362 [6 per cell]  3 Na 2.56

Summary:
- crystal system = trigonal
- total moment (μB per formula unit) = 0.0
- V (Å³/atom) = 19.841

--- 2 ---
DFT (PBE-GGA) results for an optimized crystal structure of RbNaH2.

abc: 4.3622 4.3622 8.6529
angles: 90.00 90.00 90.00
Closest atoms and distances in Å follow each position.
Space group P4/nmm (No. 129, origin choice 2)
Symmetry-distinct sites (fractional):
Rb 0.2500 0.2500 0.1767 [2 per cell]  5 H 2.88-3.09
Na 0.2500 0.2500 0.5844 [2 per cell]  5 H 2.25-2.30
H 0.2500 0.2500 0.8443 [2 per cell]  1 Na 2.25
H 0.2500 0.7500 0.5000 [2 per cell]  4 Na 2.30

Summary:
- crystal system = tetragonal
- total moment (μB per formula unit) = 0.0
- V (Å³/atom) = 20.582

--- 3 ---
DFT (PBE-GGA) results for an optimized crystal structure of RbNaH2.

abc: 4.7267 4.7267 3.3305
angles: 90.00 90.00 90.00
Closest atoms and distances in Å follow each position.
Space group P4/mmm (No. 123)
Symmetry-distinct sites (fractional):
Rb 0.0000 0.0000 0.0000 [1 per cell]  8 H 2.89
Na 0.5000 0.5000 0.0000 [1 per cell]  8 H 2.89
H 0.0000 0.5000 0.5000 [2 per cell]  4 Na 2.89, 4 Rb 2.89

Summary:
- crystal system = tetragonal
- total moment (μB per formula unit) = 0.0
- V (Å³/atom) = 18.602

Relative to the most stable structure, the computed energies are 1 48; 2 0; 3 178, all in meV/atom.

--- 1 ---
DFT (PBE-GGA) results for an optimized crystal structure of Rb3NaH4.

abc: 5.7929 5.7929 5.7929
angles: 90.00 90.00 90.00
Closest atoms and distances in Å follow each position.
Space group Pm-3m (No. 221)
Symmetry-distinct sites (fractional):
Rb 0.0000 0.0000 0.5000 [3 per cell]  6 H 2.90
Na 0.5000 0.5000 0.5000 [1 per cell]  6 H 2.90
H 0.0000 0.0000 0.0000 [1 per cell]  6 Rb 2.90
H 0.0000 0.5000 0.5000 [3 per cell]  2 Na 2.90, 4 Rb 2.90

Summary:
- crystal system = cubic
- total moment (μB per formula unit) = 0.0
- V (Å³/atom) = 24.300

--- 2 ---
DFT (PBE-GGA) results for an optimized crystal structure of Rb3NaH4.

abc: 8.1401 11.3852 4.0739
angles: 90.00 90.00 90.00
Closest atoms and distances in Å follow each position.
Space group Cmmm (No. 65)
Symmetry-distinct sites (fractional):
Rb 0.0000 0.0000 0.0000 [2 per cell]  6 H 2.99-3.07
Rb 0.2500 0.2500 0.5000 [4 per cell]  6 H 2.85-2.89
Na 0.0000 0.5000 0.0000 [2 per cell]  6 H 2.62-2.77
H 0.0000 0.2696 0.0000 [4 per cell]  1 Na 2.62, 4 Rb 2.89
H 0.2307 0.5000 0.5000 [4 per cell]  2 Na 2.77, 4 Rb 2.85-2.99

Summary:
- crystal system = orthorhombic
- total moment (μB per formula unit) = 0.0
- V (Å³/atom) = 23.597

Relative to the most stable structure, the computed energies are 1 13; 2 0, all in meV/atom.

--- 1 ---
DFT (PBE-GGA) results for an optimized crystal structure of RbNa2H6.

abc: 14.1285 7.0734 6.7587
angles: 90.00 102.51 90.00
Closest atoms and distances in Å follow each position.
Space group C2/c (No. 15)
Symmetry-distinct sites (fractional):
Rb 0.0000 0.2047 0.2500 [4 per cell]  4 H 2.88-3.09
Na 0.2370 0.1069 0.8246 [8 per cell]  5 H 2.24-2.50
H 0.0278 0.3624 0.7536 [8 per cell]  1 H 0.78
H 0.1694 0.1122 0.0980 [8 per cell]  3 Na 2.24-2.38
H 0.2259 0.2799 0.4984 [8 per cell]  1 H 0.80

Summary:
- crystal system = monoclinic
- total moment (μB per formula unit) = 0.0
- V (Å³/atom) = 18.317

--- 2 ---
DFT (PBE-GGA) results for an optimized crystal structure of RbNa2H6.

abc: 7.9554 7.9554 7.9554
angles: 90.00 90.00 90.00
Closest atoms and distances in Å follow each position.
Space group Fm-3m (No. 225)
Symmetry-distinct sites (fractional):
Rb 0.0000 0.0000 0.0000 [4 per cell]  6 H 3.02
Na 0.2500 0.2500 0.2500 [8 per cell]  12 H 3.00
H 0.0000 0.0000 0.3794 [24 per cell]  4 H 1.36

Summary:
- crystal system = cubic
- total moment (μB per formula unit) = 0.0
- V (Å³/atom) = 13.986

Relative to the most stable structure, the computed energies are 1 0; 2 590, all in meV/atom.

--- 1 ---
DFT (PBE-GGA) results for an optimized crystal structure of Rb2NaH3.

abc: 11.2406 7.4328 6.7918
angles: 90.00 103.72 90.00
Closest atoms and distances in Å follow each position.
Space group C2/c (No. 15)
Symmetry-distinct sites (fractional):
Rb 0.1631 0.1628 0.1953 [8 per cell]  5 H 2.82-3.07
Na 0.0000 0.4081 0.7500 [4 per cell]  3 H 2.19-2.21
H 0.0000 0.1136 0.7500 [4 per cell]  1 Na 2.19
H 0.1475 0.4711 0.4886 [8 per cell]  1 Na 2.21

Summary:
- crystal system = monoclinic
- total moment (μB per formula unit) = 0.0
- V (Å³/atom) = 22.970

--- 2 ---
DFT (PBE-GGA) results for an optimized crystal structure of Rb2NaH3.

abc: 11.0075 7.5720 6.4638
angles: 90.00 90.00 90.00
Closest atoms and distances in Å follow each position.
Space group Cmcm (No. 63)
Symmetry-distinct sites (fractional):
Rb 0.1683 0.1669 0.2500 [8 per cell]  5 H 2.85-3.00
Na 0.0000 0.4080 0.7500 [4 per cell]  5 H 2.19-2.40
H 0.0000 0.1184 0.7500 [4 per cell]  1 Na 2.19
H 0.1481 0.5000 0.0000 [8 per cell]  2 Na 2.40

Summary:
- crystal system = orthorhombic
- total moment (μB per formula unit) = 0.0
- V (Å³/atom) = 22.448

Relative to the most stable structure, the computed energies are 1 0; 2 9, all in meV/atom.

--- 1 ---
DFT (PBE-GGA) results for an optimized crystal structure of Rb2NaTeH.

abc: 6.4609 6.4609 4.1904
angles: 90.00 90.00 90.00
Closest atoms and distances in Å follow each position.
Space group P4/mmm (No. 123)
Symmetry-distinct sites (fractional):
Rb 0.0000 0.5000 0.0000 [2 per cell]  2 Na 3.23
Na 0.0000 0.0000 0.0000 [1 per cell]  2 H 2.10
Te 0.5000 0.5000 0.5000 [1 per cell]  8 Rb 3.85, 2 Te 4.19
H 0.0000 0.0000 0.5000 [1 per cell]  2 Na 2.10

Summary:
- crystal system = tetragonal
- total moment (μB per formula unit) = 0.0
- V (Å³/atom) = 34.984

--- 2 ---
DFT (PBE-GGA) results for an optimized crystal structure of Rb2NaTeH.

abc: 5.6089 5.6089 5.0857
angles: 90.00 90.00 90.00
Closest atoms and distances in Å follow each position.
Space group P4/mmm (No. 123)
Symmetry-distinct sites (fractional):
Rb 0.0000 0.5000 0.0000 [2 per cell]  2 H 2.80
Na 0.0000 0.0000 0.5000 [1 per cell]  2 H 2.54
Te 0.5000 0.5000 0.5000 [1 per cell]  8 Rb 3.79, 4 Na 3.97
H 0.0000 0.0000 0.0000 [1 per cell]  2 Na 2.54, 4 Rb 2.80

Summary:
- crystal system = tetragonal
- total moment (μB per formula unit) = 0.0
- V (Å³/atom) = 31.999

Relative to the most stable structure, the computed energies are 1 315; 2 0, all in meV/atom.

--- 1 ---
DFT (PBE-GGA) results for an optimized crystal structure of NaReH2.

abc: 5.4338 5.4338 5.4338
angles: 90.00 90.00 90.00
Closest atoms and distances in Å follow each position.
Space group Fm-3m (No. 225)
Symmetry-distinct sites (fractional):
Na 0.0000 0.0000 0.0000 [4 per cell]  8 H 2.35
Re 0.0000 0.0000 0.5000 [4 per cell]  8 H 2.35
H 0.2500 0.2500 0.2500 [8 per cell]  4 Na 2.35, 4 Re 2.35

Summary:
- crystal system = cubic
- total moment (μB per formula unit) = 2.0
- V (Å³/atom) = 10.027

--- 2 ---
DFT (PBE-GGA) results for an optimized crystal structure of NaReH2.

abc: 4.9328 4.9328 6.7050
angles: 90.00 90.00 90.00
Closest atoms and distances in Å follow each position.
Space group I-42d (No. 122)
Symmetry-distinct sites (fractional):
Na 0.0000 0.0000 0.0000 [4 per cell]  4 H 2.10
Re 0.0000 0.0000 0.5000 [4 per cell]  4 H 1.79
H 0.1998 0.7500 0.6250 [8 per cell]  2 Re 1.79

Summary:
- crystal system = tetragonal
- total moment (μB per formula unit) = 0.0
- V (Å³/atom) = 10.197

Relative to the most stable structure, the computed energies are 1 980; 2 0, all in meV/atom.

--- 1 ---
DFT (PBE-GGA) results for an optimized crystal structure of Na2ReH.

abc: 7.0991 7.0991 7.0991
angles: 90.00 90.00 90.00
Closest atoms and distances in Å follow each position.
Space group Fm-3m (No. 225)
Symmetry-distinct sites (fractional):
Na 0.2500 0.2500 0.2500 [8 per cell]  4 H 3.07, 4 Re 3.07
Re 0.0000 0.0000 0.0000 [4 per cell]  8 Na 3.07
H 0.0000 0.0000 0.5000 [4 per cell]  8 Na 3.07

Summary:
- crystal system = cubic
- total moment (μB per formula unit) = 4.0
- V (Å³/atom) = 22.361

--- 2 ---
DFT (PBE-GGA) results for an optimized crystal structure of Na2ReH.

abc: 6.0729 6.0729 7.3770
angles: 90.00 90.00 90.00
Closest atoms and distances in Å follow each position.
Space group I-42d (No. 122)
Symmetry-distinct sites (fractional):
Na 0.1173 0.2500 0.1250 [8 per cell]  2 H 1.91
Re 0.0000 0.0000 0.5000 [4 per cell]  8 Na 2.93-3.23
H 0.0000 0.0000 0.0000 [4 per cell]  4 Na 1.91

Summary:
- crystal system = tetragonal
- total moment (μB per formula unit) = 0.0
- V (Å³/atom) = 17.004

Relative to the most stable structure, the computed energies are 1 144; 2 0, all in meV/atom.

--- 1 ---
DFT (PBE-GGA) results for an optimized crystal structure of Na2ReH6.

abc: 4.7946 4.7946 9.7573
angles: 90.00 90.00 90.00
Closest atoms and distances in Å follow each position.
Space group P4_2/mnm (No. 136)
Symmetry-distinct sites (fractional):
Na 0.0000 0.0000 0.1629 [4 per cell]  6 H 2.23-2.30
Re 0.0000 0.0000 0.5000 [2 per cell]  6 H 1.77
H 0.1741 0.1741 0.3646 [8 per cell]  1 Re 1.77
H 0.2394 0.2394 0.0000 [4 per cell]  1 Re 1.77

Summary:
- crystal system = tetragonal
- total moment (μB per formula unit) = 3.1
- V (Å³/atom) = 12.461

--- 2 ---
DFT (PBE-GGA) results for an optimized crystal structure of Na2ReH6.

abc: 7.5252 7.5252 7.5252
angles: 90.00 90.00 90.00
Closest atoms and distances in Å follow each position.
Space group Fm-3m (No. 225)
Symmetry-distinct sites (fractional):
Na 0.2500 0.2500 0.2500 [8 per cell]  12 H 2.66
Re 0.0000 0.0000 0.0000 [4 per cell]  6 H 1.77
H 0.0000 0.0000 0.2357 [24 per cell]  1 Re 1.77

Summary:
- crystal system = cubic
- total moment (μB per formula unit) = 3.0
- V (Å³/atom) = 11.837

Relative to the most stable structure, the computed energies are 1 28; 2 0, all in meV/atom.